# Ba2LiPb

A relaxed structure of Ba2LiPb (PBE-GGA, Alexandria).

Values from the calculation:
Density of states at the Fermi level in states/eV per cell: 2.0
Total energy in eV per atom: -2.642
V in Å³/cell: 153
Formation energy in eV per atom: -0.28

a b c (Å): 7.3097 7.3097 5.9227
angles (deg): 113.74 113.74 32.09
Last column: nearest neighbours and their distance in Å.
Sites, in units of the cell vectors:
Ba 0.0000 0.0000 0.0000  4 Li 3.71, 4 Ba 3.89-4.04, 2 Pb 3.91
Ba 0.1984 0.1984 0.6969  4 Pb 3.68, 4 Ba 3.89-4.04, 2 Li 4.01
Li 0.4266 0.4266 0.4270  2 Pb 2.91
Pb 0.7628 0.7628 0.2607  2 Li 2.91